Version i
The following is a DFT calculation (meta-GGA SCAN) of Sr2CdIn at its PBEsol-relaxed geometry.

a = 3.8998 Å, b = 5.6749 Å, c = 5.7051 Å
α = 90.00°, β = 90.00°, γ = 90.00°
Space group Pmm2 (No. 25)
Unique sites:
Sr1 0.0000 0.0000 0.0000
Sr2 0.0000 0.5000 0.4772
Cd1 0.5000 0.5000 0.9646
In1 0.5000 0.0000 0.5086


Version ii
The following is a DFT calculation (meta-GGA SCAN) of Sr2CdIn at its PBEsol-relaxed geometry.

a = 12.7878 Å, b = 3.8239 Å, c = 5.6591 Å
α = 90.00°, β = 113.78°, γ = 90.00°
Space group Cm (No. 8)
Unique sites:
Sr1 0.0000 0.0000 0.0000
Sr2 0.1990 0.0000 0.6814
Cd1 0.2494 0.5000 0.2247
In1 0.4406 0.0000 0.4478


So which one is most stable? That would be version i, about 97 meV per atom below the next structure.